Computed, not measured: CdCo2Tc after structural relaxation at the PBE level of DFT.

Computed properties:
VASP energy: -44.83 eV per cell
formation energy from the elements: 769 meV per atom

Cell lengths 6.7432, 6.7432, 5.4929 Å; angles 52.13, 52.13, 90.00 degrees
Site moments in Bohr magnetons follow the coordinates.
Fractional coordinates of all 8 atoms:
Co 0.1668 0.6250 0.2500  0.79
Co 0.8750 0.8332 0.7500  0.82
Co 0.3750 0.4168 0.7500  0.80
Co 0.5832 0.1250 0.2500  0.78
Tc 0.2500 0.7500 0.5000  0.43
Tc 0.5000 0.5000 0.0000  0.44
Cd 0.7500 0.2500 0.5000  0.02
Cd 0.0000 0.0000 0.0000  0.02


Computed, not measured: BiSb2MoAu after structural relaxation at the PBE level of DFT.

Computed properties:
VASP energy: -21.16 eV per cell
formation energy from raw total energies: 1015 meV per atom

Cell lengths 5.3300, 5.3300, 5.2968 Å; angles 90.00, 90.00, 90.00 degrees
Site moments in Bohr magnetons follow the coordinates.
Fractional coordinates of all 5 atoms:
Sb 0.5000 0.0000 0.0000  -0.01
Sb 0.0000 0.5000 0.0000  -0.01
Au 0.0000 0.0000 0.0000  0.06
Bi 0.5000 0.5000 0.5000  -0.17
Mo 0.0000 0.0000 0.5000  3.12


Computed, not measured: Sr4ErRh3O12 after structural relaxation at the PBE level of DFT.

Computed properties:
VASP energy: -130.52 eV per cell
formation energy from raw total energies: -1884 meV per atom

Cell lengths 7.0509, 7.0509, 7.0509 Å; angles 109.47, 109.47, 109.47 degrees
Site moments in Bohr magnetons follow the coordinates.
Fractional coordinates of all 20 atoms:
O 0.7500 0.5000 0.2500  0.16
O 0.7384 0.7384 0.0000  0.11
O 0.2616 0.0000 0.2616  0.11
O 0.0000 0.7384 0.7384  0.11
O 0.2500 0.7500 0.5000  0.16
O 0.0000 0.2616 0.2616  0.11
O 0.2500 0.5000 0.7500  0.16
O 0.7384 0.0000 0.7384  0.11
O 0.5000 0.7500 0.2500  0.16
O 0.5000 0.2500 0.7500  0.16
O 0.7500 0.2500 0.5000  0.16
O 0.2616 0.2616 0.0000  0.11
Sr 0.5000 0.5000 0.5000  0.01
Sr 0.0000 0.5000 0.0000  0.01
Sr 0.0000 0.0000 0.5000  0.01
Sr 0.5000 0.0000 0.0000  0.01
Rh 0.0000 0.5000 0.5000  1.05
Rh 0.5000 0.5000 0.0000  1.05
Rh 0.5000 0.0000 0.5000  1.05
Er 0.0000 0.0000 0.0000  -0.03